1.
# NiAgOs2 PBE-GGA relaxed
data_NiAgOs2
_chemical_formula_sum 'Ni1 Ag1 Os2'
_space_group_name_H-M_alt 'P 1 2/m 1'
_space_group_IT_number 10
_space_group_name_Hall '-P 2y'
_cell_length_a 2.6779
_cell_length_b 4.5742
_cell_length_c 4.7797
_cell_angle_alpha 90.00
_cell_angle_beta 95.73
_cell_angle_gamma 90.00
loop_
_atom_site_label
_atom_site_type_symbol
_atom_site_fract_x
_atom_site_fract_y
_atom_site_fract_z
Ni1 Ni 0.0000 0.0000 0.0000
Ag1 Ag 0.5000 0.0000 0.5000
Os1 Os 0.1978 0.5000 0.7639
# **Crystal system**: monoclinic
# **Energy relative to the elements**: 0.63 eV per atom
# **Energy**: -7.14 eV per atom

***

2.
# Tb3Pm3Sm4 PBE-GGA relaxed
data_Tb3Pm3Sm4
_chemical_formula_sum 'Tb6 Pm6 Sm8'
_space_group_name_H-M_alt 'A m m 2'
_space_group_IT_number 38
_space_group_name_Hall 'A 2 -2'
_cell_length_a 3.7961
_cell_length_b 13.3978
_cell_length_c 13.3587
_cell_angle_alpha 90.00
_cell_angle_beta 90.00
_cell_angle_gamma 90.00
loop_
_atom_site_label
_atom_site_type_symbol
_atom_site_fract_x
_atom_site_fract_y
_atom_site_fract_z
Tb1 Tb 0.0000 0.0000 0.0000
Tb2 Tb 0.0000 0.1702 0.6711
Pm1 Pm 0.0000 0.0000 0.3412
Pm2 Pm 0.5000 0.2478 0.9212
Sm1 Sm 0.5000 0.0000 0.5438
Sm2 Sm 0.5000 0.0000 0.7986
Sm3 Sm 0.5000 0.1285 0.1695
# **Crystal system**: orthorhombic
# **Energy relative to the elements**: 0.09 eV per atom
# **Energy**: -4.61 eV per atom

***

3.
# Tl3NiRh2Se6 PBE-GGA relaxed
data_Tl3NiRh2Se6
_chemical_formula_sum 'Tl6 Ni2 Rh4 Se12'
_space_group_name_H-M_alt 'C 1 2/m 1'
_space_group_IT_number 12
_space_group_name_Hall '-C 2y'
_cell_length_a 6.5906
_cell_length_b 11.3962
_cell_length_c 7.6244
_cell_angle_alpha 90.00
_cell_angle_beta 106.47
_cell_angle_gamma 90.00
loop_
_atom_site_label
_atom_site_type_symbol
_atom_site_fract_x
_atom_site_fract_y
_atom_site_fract_z
Tl1 Tl 0.0000 0.0000 0.0000
Tl2 Tl 0.0000 0.3288 0.0000
Ni1 Ni 0.0000 0.5000 0.5000
Rh1 Rh 0.0000 0.1670 0.5000
Se1 Se 0.2180 0.3375 0.6670
Se2 Se 0.2292 0.0000 0.6699
# **Crystal system**: monoclinic
# **Formation energy from raw total energies**: -4.05 eV/f.u.
# **Energy**: -4.38 eV per atom

***

4.
# HgTe2Pt PBE-GGA relaxed
data_HgTe2Pt
_chemical_formula_sum 'Hg1 Te2 Pt1'
_space_group_name_H-M_alt 'P 4/m m m'
_space_group_IT_number 123
_space_group_name_Hall '-P 4 2'
_cell_length_a 4.1209
_cell_length_b 4.1209
_cell_length_c 5.8231
_cell_angle_alpha 90.00
_cell_angle_beta 90.00
_cell_angle_gamma 90.00
loop_
_atom_site_label
_atom_site_type_symbol
_atom_site_fract_x
_atom_site_fract_y
_atom_site_fract_z
Hg1 Hg 0.0000 0.0000 0.0000
Te1 Te 0.0000 0.0000 0.5000
Te2 Te 0.5000 0.5000 0.0000
Pt1 Pt 0.5000 0.5000 0.5000
# **Crystal system**: tetragonal
# **Formation energy from raw total energies**: -0.02 eV/f.u.
# **Energy**: -3.16 eV per atom

***

5.
# Pr5Ge3Au12 PBE-GGA relaxed
data_Pr5Ge3Au12
_chemical_formula_sum 'Pr40 Ge24 Au96'
_space_group_name_H-M_alt 'I a -3 d'
_space_group_IT_number 230
_space_group_name_Hall '-I 4bd 2c 3'
_cell_length_a 16.5397
_cell_length_b 16.5397
_cell_length_c 16.5397
_cell_angle_alpha 90.00
_cell_angle_beta 90.00
_cell_angle_gamma 90.00
loop_
_atom_site_label
_atom_site_type_symbol
_atom_site_fract_x
_atom_site_fract_y
_atom_site_fract_z
Pr1 Pr 0.0000 0.0000 0.0000
Pr2 Pr 0.0000 0.2500 0.3750
Ge1 Ge 0.0000 0.2500 0.1250
Au1 Au 0.0150 0.0964 0.6504
# **Crystal system**: cubic
# **Energy relative to the elements**: -0.14 eV per atom
# **Energy**: -3.99 eV per atom

***

6.
# PtW3N PBE-GGA relaxed
data_PtW3N
_chemical_formula_sum 'Pt1 W3 N1'
_space_group_name_H-M_alt 'P m -3 m'
_space_group_IT_number 221
_space_group_name_Hall '-P 4 2 3'
_cell_length_a 4.1189
_cell_length_b 4.1189
_cell_length_c 4.1189
_cell_angle_alpha 90.00
_cell_angle_beta 90.00
_cell_angle_gamma 90.00
loop_
_atom_site_label
_atom_site_type_symbol
_atom_site_fract_x
_atom_site_fract_y
_atom_site_fract_z
Pt1 Pt 0.0000 0.0000 0.0000
W1 W 0.0000 0.5000 0.5000
N1 N 0.5000 0.5000 0.5000
# **Crystal system**: cubic
# **Formation energy from raw total energies**: -0.48 eV/f.u.
# **Energy**: -10.74 eV per atom